1.
The following is a DFT calculation (PBE) of a relaxed Dy2Be2ZnPd5 crystal.

Cell: 3.4610 9.5713 9.5713 Å, 90.00 90.00 90.00°
Closest atoms and distances in Å follow each position.
Element x y z (fractional)
Pd (0.5000, 0.7872, 0.9325)  2 Be 2.42
Dy (0.0000, 0.3221, 0.8221)  3 Be 2.76-2.89, 6 Pd 2.97-3.01
Pd (0.5000, 0.4325, 0.2872)  2 Be 2.42
Pd (0.5000, 0.0675, 0.7872)  2 Be 2.42
Dy (0.0000, 0.6779, 0.1779)  3 Be 2.76-2.89, 6 Pd 2.97-3.01
Pd (0.5000, 0.2872, 0.5675)  2 Be 2.42
Zn (0.0000, 0.0000, 0.0000)  8 Pd 2.75
Pd (0.5000, 0.2128, 0.0675)  2 Be 2.42
Be (0.0000, 0.3815, 0.1185)  6 Pd 2.36-2.42
Be (0.0000, 0.6185, 0.8815)  6 Pd 2.36-2.42
Zn (0.0000, 0.5000, 0.5000)  8 Pd 2.75
Pd (0.5000, 0.5000, 0.0000)  4 Be 2.36
Be (0.0000, 0.1185, 0.6185)  6 Pd 2.36-2.42
Be (0.0000, 0.8815, 0.3815)  6 Pd 2.36-2.42
Pd (0.5000, 0.9325, 0.2128)  2 Be 2.42
Pd (0.5000, 0.7128, 0.4325)  2 Be 2.42
Pd (0.5000, 0.0000, 0.5000)  4 Be 2.36
Dy (0.0000, 0.1779, 0.3221)  3 Be 2.76-2.89, 6 Pd 2.97-3.01
Pd (0.5000, 0.5675, 0.7128)  2 Be 2.42
Dy (0.0000, 0.8221, 0.6779)  3 Be 2.76-2.89, 6 Pd 2.97-3.01

Properties
E_form, eV per atom: -0.735
Symmetry: No. 127
DOS(E_F), states/eV per cell: 7.36
Calculated total energy, eV per atom: -5.12

2.
The following is a DFT calculation (PBE) of a relaxed DyBeZn2Pd4 crystal.

Cell: 4.3795 4.3795 7.9857 Å, 74.09 74.09 60.00°
Closest atoms and distances in Å follow each position.
Element x y z (fractional)
Pd (0.3996, 0.3996, 0.8011)  1 Be 2.28
Pd (0.6004, 0.6004, 0.1989)  1 Be 2.28
Be (0.5000, 0.5000, 0.5000)  2 Pd 2.28
Dy (0.0000, 0.0000, 0.0000)  8 Pd 2.94-3.00, 6 Zn 3.20
Pd (0.8678, 0.8678, 0.3966)  4 Zn 2.61-2.74, 3 Be 2.65
Zn (0.7530, 0.7530, 0.7411)  7 Pd 2.57-2.74
Pd (0.1322, 0.1322, 0.6034)  4 Zn 2.61-2.74, 3 Be 2.65
Zn (0.2470, 0.2470, 0.2589)  7 Pd 2.57-2.74

Properties
E_form, eV per atom: -0.614
Symmetry: No. 166
DOS(E_F), states/eV per cell: 3.09
Calculated total energy, eV per atom: -4.57

What is the DOS(E_F) in the second record? 3.09 states/eV per cell